1.
Density functional theory data (PBE) for a relaxed structure of NiSbHPd2.

Unit cell a=4.0556 b=4.0556 c=3.9782 alpha=90.00 beta=90.00 gamma=90.00
Space group P4/mmm (No. 123)
Asymmetric unit:
Ni 0.0000 0.0000 0.0000
Sb 0.5000 0.5000 0.0000
H 0.0000 0.0000 0.5000
Pd 0.0000 0.5000 0.5000

Computed properties:
Density of states at the Fermi level ... 4.24 states/eV/cell
V ... 13.1 A^3/atom
Uncorrected energy ... -24.5 eV/f.u.
Theoretical density ... 10.01 Mg/m³

2.
Density functional theory data (PBE) for a relaxed structure of Si2BiBr.

Unit cell a=7.5652 b=7.5652 c=7.5973 alpha=90.00 beta=90.00 gamma=90.00
Space group I-42d (No. 122)
Asymmetric unit:
Si 0.2442 0.2500 0.1250
Bi 0.0000 0.0000 0.0000
Br 0.0000 0.0000 0.5000

Computed properties:
Relative energy among the computed polymorphs ... 0.351 eV/f.u.
Density of states at the Fermi level ... 5.89 states/eV/cell
V ... 27.2 A^3/atom
Theoretical density ... 5.27 Mg/m³

3.
Density functional theory data (PBE) for a relaxed structure of Zr4Ir3.

Unit cell a=5.4217 b=5.4217 c=5.1172 alpha=90.00 beta=90.00 gamma=120.00
Space group P6/mmm (No. 191)
Asymmetric unit:
Zr 0.0000 0.0000 0.2457
Zr 0.3333 0.6667 0.5000
Ir 0.0000 0.5000 0.0000

Computed properties:
Relative energy among the computed polymorphs ... 0.593 eV/f.u.
Density of states at the Fermi level ... 6.86 states/eV/cell
V ... 18.6 A^3/atom
Theoretical density ... 12.00 Mg/m³

4.
Density functional theory data (PBE) for a relaxed structure of NbFeBi2Pb.

Unit cell a=5.1583 b=5.1583 c=5.1086 alpha=90.00 beta=90.00 gamma=90.00
Space group P4/mmm (No. 123)
Asymmetric unit:
Nb 0.0000 0.0000 0.0000
Fe 0.5000 0.5000 0.5000
Bi 0.0000 0.5000 0.5000
Pb 0.5000 0.5000 0.0000

Computed properties:
Relative energy among the computed polymorphs ... 1.358 eV/f.u.
Density of states at the Fermi level ... 8.00 states/eV/cell
V ... 27.2 A^3/atom
Theoretical density ... 9.45 Mg/m³

5.
Density functional theory data (PBE) for a relaxed structure of Na2Nd3HoSe6.

Unit cell a=7.2759 b=12.5882 c=7.2816 alpha=90.00 beta=109.35 gamma=90.00
Space group C2/m (No. 12)
Asymmetric unit:
Na 0.0000 0.1654 0.0000
Nd 0.0000 0.0000 0.5000
Nd 0.0000 0.3295 0.5000
Ho 0.0000 0.5000 0.0000
Se 0.2419 0.5000 0.7523
Se 0.2435 0.3372 0.2421

Computed properties:
Density of states at the Fermi level ... 6.66 states/eV/cell
V ... 26.2 A^3/atom
Uncorrected energy ... -63.1 eV/f.u.
Theoretical density ... 5.90 Mg/m³

6.
Density functional theory data (PBE) for a relaxed structure of SnOsIO2.

Unit cell a=4.0576 b=4.0576 c=5.7573 alpha=90.00 beta=90.00 gamma=90.00
Space group P4/mmm (No. 123)
Asymmetric unit:
Sn 0.0000 0.0000 0.0000
Os 0.5000 0.5000 0.5000
I 0.5000 0.5000 0.0000
O 0.0000 0.5000 0.5000

Computed properties:
Relative energy among the computed polymorphs ... 0.000 eV/f.u.
Density of states at the Fermi level ... 6.09 states/eV/cell
V ... 19.0 A^3/atom
Theoretical density ... 8.20 Mg/m³